A plane-wave DFT calculation with PBE was carried out for a geometry-optimized NaICl3 structure.

Computed properties:
ΔE_f (raw)	-479	meV/atom
symmetry	R3m, No. 160
crystal system	trigonal
DFT total energy	-10.8	eV/cell
density	1.57	g/cm³

```
5
Lattice="6.5234 0.3094 1.3623 1.1686 6.4252 1.3623 0.3534 0.3094 6.6546" Properties=species:S:1:pos:R:3 pbc="T T T"
Na 1.5627 1.3682 1.8217
I 7.8032 6.8321 9.0969
Cl 4.2432 1.3719 2.2388
Cl 1.9204 4.0247 2.2388
Cl 1.5668 1.3718 4.5345
```